(1)
Here is crystalline MnTc3As at its relaxed geometry from the Alexandria database. Energies are from PBE-GGA.

- Formation energy from the elements: 1.2358 eV per atom
- Energy above the most stable polymorph in this dataset: 0.00 eV per formula unit

```
MnTc3As
1.0
4.424 0.000 0.000
0.000 4.424 0.000
0.000 0.000 4.424
As Tc Mn
1 3 1
direct
0.500 0.500 0.500
0.000 0.500 0.000
0.500 0.000 0.000
0.000 0.000 0.500
0.000 0.000 0.000
```

(2)
Here is crystalline Ac2Ag5Au12 at its relaxed geometry from the Alexandria database. Energies are from PBE-GGA.

- Formation energy from the elements: -0.3113 eV per atom

```
Ac2Ag5Au12
1.0
7.342 0.201 0.836
0.768 7.305 0.836
0.217 0.201 7.387
Ag Au Ac
5 12 2
direct
0.000 0.000 0.500
0.098 0.098 0.098
0.000 0.500 0.000
0.500 0.000 0.000
0.902 0.902 0.902
0.000 0.698 0.302
0.350 0.350 0.846
0.846 0.350 0.350
0.154 0.650 0.650
0.698 0.302 0.000
0.650 0.154 0.650
0.302 0.000 0.698
0.698 0.000 0.302
0.302 0.698 0.000
0.650 0.650 0.154
0.000 0.302 0.698
0.350 0.846 0.350
0.344 0.344 0.344
0.656 0.656 0.656
```

(3)
Here is crystalline TaVTcSn at its relaxed geometry from the Alexandria database. Energies are from PBE-GGA.

- Formation energy from the elements: -0.1179 eV per atom

```
TaVTcSn
1.0
-3.617 1.011 2.580
-4.202 -0.895 -1.518
-2.446 -3.340 1.903
Sn V Tc Ta
1 1 1 1
direct
0.250 0.250 0.250
0.000 0.000 0.000
0.500 0.500 0.500
0.750 0.750 0.750
```

(4)
Here is crystalline Ca6PS2I3 at its relaxed geometry from the Alexandria database. Energies are from PBE-GGA.

- Uncorrected formation energy: -18.26 eV/f.u.

```
Ca6PS2I3
1.0
-0.708 -0.646 -7.239
1.818 -5.818 4.021
-7.486 0.507 1.912
Ca S I P
6 2 3 1
direct
0.936 0.606 0.807
0.064 0.394 0.193
0.735 0.735 0.195
0.265 0.265 0.805
0.394 0.064 0.193
0.606 0.936 0.807
0.666 0.334 0.000
0.334 0.666 0.000
0.169 0.831 0.500
0.831 0.169 0.500
0.500 0.500 0.500
0.000 0.000 0.000
```

(5)
Here is crystalline Ca3BiB2Pd9 at its relaxed geometry from the Alexandria database. Energies are from PBE-GGA.

- Formation energy from the elements: -0.5487 eV per atom

```
Ca3BiB2Pd9
1.0
-4.511 -2.912 -2.507
4.630 1.689 -3.290
4.203 -8.047 1.785
Pd B Bi Ca
9 2 1 3
direct
0.500 0.000 0.000
0.000 0.500 0.000
0.332 0.166 0.736
0.834 0.166 0.736
0.500 0.500 0.000
0.668 0.834 0.264
0.166 0.834 0.264
0.834 0.668 0.736
0.166 0.332 0.264
0.667 0.333 0.861
0.333 0.667 0.139
0.000 0.000 0.500
0.667 0.333 0.342
0.333 0.667 0.658
0.000 0.000 0.000
```

(6)
Here is crystalline HgIrO3 at its relaxed geometry from the Alexandria database. Energies are from PBE-GGA.

- Uncorrected formation energy: -2.19 eV/f.u.

```
HgIrO3
1.0
3.926 0.000 0.000
-1.963 5.221 -0.672
0.000 0.153 6.738
O Hg Ir
6 2 2
direct
0.951 0.902 0.826
0.049 0.098 0.174
0.677 0.353 0.953
0.181 0.361 0.651
0.323 0.647 0.047
0.819 0.639 0.349
0.615 0.230 0.427
0.385 0.770 0.573
0.864 0.728 0.078
0.136 0.272 0.922
```

no.,density (g cm⁻³)
1,8.13
2,14.20
3,11.14
4,3.50
5,7.72
6,10.57